Entry 1:
# DyErAg (PBE-GGA, optimized geometry)
data_DyErAg
_chemical_formula_sum 'Dy4 Er4 Ag4'
_cell_length_a 8.8011
_cell_length_b 5.0791
_cell_length_c 7.8835
_cell_angle_alpha 90.00
_cell_angle_beta 111.96
_cell_angle_gamma 90.00
_symmetry_space_group_name_H-M 'C 1 m 1'
_symmetry_Int_Tables_number 8
loop_
_symmetry_equiv_pos_as_xyz
'x,y,z'
'x,-y,z'
'x+1/2,y+1/2,z'
'x+1/2,-y+1/2,z'
loop_
_atom_site_label
_atom_site_fract_x
_atom_site_fract_y
_atom_site_fract_z
_atom_site_occupancy
Dy1 0.0000 0.0000 0.0000 1
Dy2 0.1645 0.0000 0.4932 1
Er1 0.0833 0.5000 0.7495 1
Er2 0.4194 0.0000 0.2581 1
Ag1 0.2235 0.5000 0.1703 1
Ag2 0.3605 0.5000 0.5810 1
# * E_tot: -0.1494 Ha/atom
# * M_tot: 0.000 μB/atom
# * volume: 326.8 Å³/cell
# * relative energy among the computed polymorphs: 0.144 eV per atom
# * E_form: -60 meV per atom

Entry 2:
# RbNbW2 (PBE-GGA, optimized geometry)
data_RbNbW2
_chemical_formula_sum 'Rb4 Nb4 W8'
_cell_length_a 4.9430
_cell_length_b 4.9430
_cell_length_c 18.3509
_cell_angle_alpha 90.00
_cell_angle_beta 90.00
_cell_angle_gamma 90.00
_symmetry_space_group_name_H-M 'I -4 2 d'
_symmetry_Int_Tables_number 122
_symmetry_space_group_name_Hall 'I -4 2bw'
loop_
_atom_site_label
_atom_site_fract_x
_atom_site_fract_y
_atom_site_fract_z
_atom_site_occupancy
Rb1 0.0000 0.0000 0.0000 1
Nb1 0.0000 0.0000 0.5000 1
W1 0.0761 0.2500 0.6250 1
# * E_tot: -0.2602 Ha/atom
# * M_tot: 0.000 μB/atom
# * volume: 448.4 Å³/cell
# * relative energy among the computed polymorphs: 0.150 eV per atom
# * E_form: 2157 meV per atom

Entry 3:
# Na2AcIrO4 (PBE-GGA, optimized geometry)
data_Na2AcIrO4
_chemical_formula_sum 'Na4 Ac2 Ir2 O8'
_cell_length_a 5.9407
_cell_length_b 5.9407
_cell_length_c 6.7187
_cell_angle_alpha 90.00
_cell_angle_beta 90.00
_cell_angle_gamma 90.00
_symmetry_space_group_name_H-M 'I -4'
_symmetry_Int_Tables_number 82
loop_
_symmetry_equiv_pos_as_xyz
'x,y,z'
'y,-x,-z'
'-x,-y,z'
'-y,x,-z'
'x+1/2,y+1/2,z+1/2'
'y+1/2,-x+1/2,-z+1/2'
'-x+1/2,-y+1/2,z+1/2'
'-y+1/2,x+1/2,-z+1/2'
loop_
_atom_site_label
_atom_site_fract_x
_atom_site_fract_y
_atom_site_fract_z
_atom_site_occupancy
Na1 0.0000 0.0000 0.0000 1
Na2 0.0000 0.5000 0.2500 1
Ac1 0.0000 0.0000 0.5000 1
Ir1 0.0000 0.5000 0.7500 1
O1 0.2172 0.7504 0.7555 1
# * E_tot: -0.2276 Ha/atom
# * M_tot: 0.251 μB/atom
# * volume: 237.1 Å³/cell

Entry 4:
# CaThTlAu (PBE-GGA, optimized geometry)
data_CaThTlAu
_chemical_formula_sum 'Ca4 Th4 Tl4 Au4'
_cell_length_a 7.5778
_cell_length_b 7.5778
_cell_length_c 7.5778
_cell_angle_alpha 90.00
_cell_angle_beta 90.00
_cell_angle_gamma 90.00
_symmetry_space_group_name_H-M 'F -4 3 m'
_symmetry_Int_Tables_number 216
_symmetry_space_group_name_Hall 'F -4 2 3'
loop_
_atom_site_label
_atom_site_fract_x
_atom_site_fract_y
_atom_site_fract_z
_atom_site_occupancy
Ca1 0.0000 0.0000 0.0000 1
Th1 0.0000 0.0000 0.5000 1
Tl1 0.2500 0.2500 0.7500 1
Au1 0.2500 0.2500 0.2500 1
# * E_tot: -0.1542 Ha/atom
# * M_tot: 0.000 μB/atom
# * volume: 435.1 Å³/cell
# * relative energy among the computed polymorphs: 0.057 eV per atom
# * E_form: -429 meV per atom

Entry 5:
# HfBiAsBr2 (PBE-GGA, optimized geometry)
data_HfBiAsBr2
_chemical_formula_sum 'Hf1 Bi1 As1 Br2'
_cell_length_a 5.0756
_cell_length_b 5.0756
_cell_length_c 5.9551
_cell_angle_alpha 90.00
_cell_angle_beta 90.00
_cell_angle_gamma 90.00
_symmetry_space_group_name_H-M 'P 4/m m m'
_symmetry_Int_Tables_number 123
_symmetry_space_group_name_Hall '-P 4 2'
loop_
_atom_site_label
_atom_site_fract_x
_atom_site_fract_y
_atom_site_fract_z
_atom_site_occupancy
Hf1 0.0000 0.0000 0.0000 1
Bi1 0.5000 0.5000 0.0000 1
As1 0.5000 0.5000 0.5000 1
Br1 0.0000 0.5000 0.5000 1
# * E_tot: -0.1377 Ha/atom
# * M_tot: 0.220 μB/atom
# * volume: 153.4 Å³/cell
# * relative energy among the computed polymorphs: 0.801 eV per atom

Entry 6:
# PIrPb2 (PBE-GGA, optimized geometry)
data_PIrPb2
_chemical_formula_sum 'P1 Ir1 Pb2'
_cell_length_a 3.2913
_cell_length_b 3.3155
_cell_length_c 7.8202
_cell_angle_alpha 90.00
_cell_angle_beta 90.21
_cell_angle_gamma 90.00
_symmetry_space_group_name_H-M 'P 1 2/m 1'
_symmetry_Int_Tables_number 10
loop_
_symmetry_equiv_pos_as_xyz
'x,y,z'
'-x,-y,-z'
'-x,y,-z'
'x,-y,z'
loop_
_atom_site_label
_atom_site_fract_x
_atom_site_fract_y
_atom_site_fract_z
_atom_site_occupancy
P1 0.0000 0.0000 0.0000 1
Ir1 0.0000 0.0000 0.5000 1
Pb1 0.4992 0.5000 0.2650 1
# * E_tot: -0.1808 Ha/atom
# * M_tot: 0.000 μB/atom
# * volume: 85.3 Å³/cell
# * E_form: 502 meV per atom

Entry 7:
# CeGaCuNi (PBE-GGA, optimized geometry)
data_CeGaCuNi
_chemical_formula_sum 'Ce3 Ga3 Cu3 Ni3'
_cell_length_a 4.2977
_cell_length_b 4.2977
_cell_length_c 13.3518
_cell_angle_alpha 90.00
_cell_angle_beta 90.00
_cell_angle_gamma 120.00
_symmetry_space_group_name_H-M 'R 3 m'
_symmetry_Int_Tables_number 160
_symmetry_space_group_name_Hall 'R 3 -2"'
loop_
_atom_site_label
_atom_site_fract_x
_atom_site_fract_y
_atom_site_fract_z
_atom_site_occupancy
Ce1 0.0000 0.0000 0.0000 1
Ga1 0.0000 0.0000 0.5217 1
Cu1 0.0000 0.0000 0.7882 1
Ni1 0.0000 0.0000 0.1934 1
# * E_tot: -0.1870 Ha/atom
# * M_tot: 0.103 μB/atom
# * volume: 213.5 Å³/cell
# * E_form: -378 meV per atom

Entry 8:
# PmSc2Ge (PBE-GGA, optimized geometry)
data_PmSc2Ge
_chemical_formula_sum 'Pm4 Sc8 Ge4'
_cell_length_a 4.0384
_cell_length_b 11.5456
_cell_length_c 8.5157
_cell_angle_alpha 90.00
_cell_angle_beta 90.00
_cell_angle_gamma 90.00
_symmetry_space_group_name_H-M 'C m c m'
_symmetry_Int_Tables_number 63
_symmetry_space_group_name_Hall '-C 2c 2'
loop_
_atom_site_label
_atom_site_fract_x
_atom_site_fract_y
_atom_site_fract_z
_atom_site_occupancy
Pm1 0.0000 0.0578 0.2500 1
Sc1 0.0000 0.3544 0.0544 1
Ge1 0.0000 0.2390 0.7500 1
# * E_tot: -0.2201 Ha/atom
# * M_tot: 0.325 μB/atom
# * volume: 397.1 Å³/cell
# * relative energy among the computed polymorphs: 0.000 eV per atom
# * E_form: -482 meV per atom

Entry 9:
# SnMoW (PBE-GGA, optimized geometry)
data_SnMoW
_chemical_formula_sum 'Sn4 Mo4 W4'
_cell_length_a 4.5400
_cell_length_b 4.5433
_cell_length_c 11.2993
_cell_angle_alpha 90.00
_cell_angle_beta 101.54
_cell_angle_gamma 90.00
_symmetry_space_group_name_H-M 'C 1 2/m 1'
_symmetry_Int_Tables_number 12
loop_
_symmetry_equiv_pos_as_xyz
'x,y,z'
'-x,-y,-z'
'-x,y,-z'
'x,-y,z'
'x+1/2,y+1/2,z'
'-x+1/2,-y+1/2,-z'
'-x+1/2,y+1/2,-z'
'x+1/2,-y+1/2,z'
loop_
_atom_site_label
_atom_site_fract_x
_atom_site_fract_y
_atom_site_fract_z
_atom_site_occupancy
Sn1 0.0662 0.0000 0.1300 1
Mo1 0.1480 0.5000 0.2951 1
W1 0.2130 0.0000 0.4255 1
# * E_tot: -0.3395 Ha/atom
# * M_tot: 0.000 μB/atom
# * volume: 228.4 Å³/cell
# * E_form: 23 meV per atom

Entry 10:
# UNi4Pt8 (PBE-GGA, optimized geometry)
data_UNi4Pt8
_chemical_formula_sum 'U2 Ni8 Pt16'
_cell_length_a 8.7831
_cell_length_b 8.7831
_cell_length_c 5.1137
_cell_angle_alpha 90.00
_cell_angle_beta 90.00
_cell_angle_gamma 90.00
_symmetry_space_group_name_H-M 'I 4/m m m'
_symmetry_Int_Tables_number 139
_symmetry_space_group_name_Hall '-I 4 2'
loop_
_atom_site_label
_atom_site_fract_x
_atom_site_fract_y
_atom_site_fract_z
_atom_site_occupancy
U1 0.0000 0.0000 0.0000 1
Ni1 0.2500 0.2500 0.2500 1
Pt1 0.0000 0.2182 0.5000 1
Pt2 0.0000 0.3369 0.0000 1
# * E_tot: -0.2441 Ha/atom
# * M_tot: 0.200 μB/atom
# * volume: 394.5 Å³/cell
# * E_form: -276 meV per atom

Entry 11:
# MgTe2OsI (PBE-GGA, optimized geometry)
data_MgTe2OsI
_chemical_formula_sum 'Mg1 Te2 Os1 I1'
_cell_length_a 5.2048
_cell_length_b 5.2048
_cell_length_c 5.6891
_cell_angle_alpha 90.00
_cell_angle_beta 90.00
_cell_angle_gamma 90.00
_symmetry_space_group_name_H-M 'P 4/m m m'
_symmetry_Int_Tables_number 123
_symmetry_space_group_name_Hall '-P 4 2'
loop_
_atom_site_label
_atom_site_fract_x
_atom_site_fract_y
_atom_site_fract_z
_atom_site_occupancy
Mg1 0.0000 0.0000 0.0000 1
Te1 0.0000 0.5000 0.5000 1
Os1 0.5000 0.5000 0.5000 1
I1 0.5000 0.5000 0.0000 1
# * E_tot: -0.1324 Ha/atom
# * M_tot: 0.000 μB/atom
# * volume: 154.1 Å³/cell
# * relative energy among the computed polymorphs: 0.000 eV per atom

Entry 12:
# LiSnRuO4 (PBE-GGA, optimized geometry)
data_LiSnRuO4
_chemical_formula_sum 'Li4 Sn4 Ru4 O16'
_cell_length_a 5.6651
_cell_length_b 6.4192
_cell_length_c 9.1497
_cell_angle_alpha 90.00
_cell_angle_beta 90.00
_cell_angle_gamma 90.00
_symmetry_space_group_name_H-M 'I m m a'
_symmetry_Int_Tables_number 74
_symmetry_space_group_name_Hall '-I 2b 2'
loop_
_atom_site_label
_atom_site_fract_x
_atom_site_fract_y
_atom_site_fract_z
_atom_site_occupancy
Li1 0.0000 0.2500 0.1308 1
Sn1 0.0000 0.0000 0.5000 1
Ru1 0.2500 0.2500 0.7500 1
O1 0.0000 0.0118 0.7296 1
O2 0.2436 0.2500 0.5195 1
# * E_tot: -0.2359 Ha/atom
# * M_tot: 0.029 μB/atom
# * volume: 332.7 Å³/cell